Record 1
! Ac3Te2Ru | Alexandria via LeMat-Bulk | PBE-GGA | relaxed; values from VASP
! ΔE_f (raw) ... -1.027 eV/atom
! Total magnetic moment ... 0.00 μB per cell
&SYSTEM
  ibrav = 0, nat = 24, ntyp = 3
/
ATOMIC_SPECIES
Ac 227.00 Ac.upf
Te 127.60 Te.upf
Ru 101.07 Ru.upf
CELL_PARAMETERS angstrom
7.978 0.080 -1.489
-3.012 7.388 -1.489
-0.104 -0.157 14.429
ATOMIC_POSITIONS angstrom
Ac 0.455 0.309 9.641
Ac 2.794 4.577 8.031
Ac -0.103 6.178 0.938
Ac -1.358 3.917 6.350
Ac 3.925 5.903 -2.354
Ac 4.763 0.830 10.634
Ac 5.939 2.598 0.817
Ac 4.753 6.773 1.810
Ac -0.875 5.017 10.513
Ac 0.724 7.049 5.101
Ac 1.722 2.965 3.420
Ac 1.041 1.566 -0.624
Te 6.342 3.579 12.055
Te 5.551 2.389 7.751
Te 3.647 5.484 4.841
Te 4.015 0.079 -0.604
Te 4.806 1.269 3.700
Te 2.007 3.018 10.914
Te 1.215 1.828 6.610
Te 2.855 4.294 0.536
Ru 0.401 0.602 2.179
Ru -0.717 4.881 3.547
Ru 0.084 6.085 7.904
Ru 4.461 6.709 9.272



Record 2
! Ac4TlTe2Ru | Alexandria via LeMat-Bulk | PBE-GGA | relaxed; values from VASP
! ΔE_f (raw) ... -0.787 eV/atom
! Total magnetic moment ... 0.00 μB per cell
&SYSTEM
  ibrav = 0, nat = 8, ntyp = 4
/
ATOMIC_SPECIES
Te 127.60 Te.upf
Ac 227.00 Ac.upf
Tl 204.38 Tl.upf
Ru 101.07 Ru.upf
CELL_PARAMETERS angstrom
4.517 0.000 0.000
0.000 8.093 0.211
0.000 -2.764 7.975
ATOMIC_POSITIONS angstrom
Te 0.000 2.665 4.093
Te 2.259 -1.382 3.988
Ac 2.259 3.689 6.349
Ac 2.259 1.641 1.837
Ac 0.000 5.253 1.880
Ac 0.000 0.076 6.306
Tl 0.000 0.000 0.000
Ru 2.259 4.046 0.105



Record 3
! Ac2Th3Ru2 | Alexandria via LeMat-Bulk | PBE-GGA | relaxed; values from VASP
! Formation energy from the elements ... -2.06 eV/f.u.
! Total magnetic moment ... 0.00 μB per cell
&SYSTEM
  ibrav = 0, nat = 7, ntyp = 3
/
ATOMIC_SPECIES
Th 232.04 Th.upf
Ru 101.07 Ru.upf
Ac 227.00 Ac.upf
CELL_PARAMETERS angstrom
3.783 0.000 1.063
1.362 5.905 2.416
-0.556 -0.126 9.242
ATOMIC_POSITIONS angstrom
Th 1.892 0.000 0.532
Th 2.308 4.773 6.311
Th 2.280 1.007 6.411
Ru 1.359 5.630 9.691
Ru 3.230 0.150 3.031
Ac 3.448 3.059 9.518
Ac 1.141 2.721 3.204